Record 1
{
  "formula": "PrHo2Th3As6",
  "functional": "PBE-GGA",
  "state": "relaxed",
  "n_ef_per_ev_atom": 0.4328,
  "formation_enthalpy_0k_ev_per_fu": -17.51,
  "magnetic_moment_mub_per_atom": 0.00,
  "crystal_system": "monoclinic",
  "space_group": "No. 12",
  "lattice_angstrom": [[3.661, -6.332, 0.000], [3.661, 6.332, 0.000], [-2.441, 0.000, 6.842]],
  "species": ["Pr", "Ho", "Ho", "Th", "Th", "Th", "As", "As", "As", "As", "As", "As"],
  "frac_coords": [[0.000, 0.000, 0.000], [0.333, 0.667, 0.000], [0.667, 0.333, 0.000], [0.165, 0.835, 0.500], [0.500, 0.500, 0.500], [0.835, 0.165, 0.500], [0.082, 0.423, 0.246], [0.260, 0.260, 0.756], [0.423, 0.082, 0.246], [0.577, 0.918, 0.754], [0.740, 0.740, 0.244], [0.918, 0.577, 0.754]]
}

Record 2
{
  "formula": "Si2MoAu",
  "functional": "PBE-GGA",
  "state": "relaxed",
  "n_ef_per_ev_atom": 0.3935,
  "magnetic_moment_mub_per_atom": 0.00,
  "crystal_system": "orthorhombic",
  "formation_energy_uncorrected_mev_per_atom": 163.1,
  "e_above_lowest_polymorph_ev_per_atom": 0.227,
  "space_group": "No. 71",
  "lattice_angstrom": [[-1.796, 2.164, 3.903], [1.796, -2.164, 3.903], [1.796, 2.164, -3.903]],
  "species": ["Si", "Si", "Mo", "Au"],
  "frac_coords": [[0.248, 0.248, 0.000], [0.752, 0.752, 0.000], [0.500, 0.000, 0.500], [0.000, 0.500, 0.500]]
}

Record 3
{
  "formula": "Er4NiHgRu2",
  "functional": "PBE-GGA",
  "state": "relaxed",
  "n_ef_per_ev_atom": 0.5529,
  "formation_enthalpy_0k_ev_per_fu": -3.34,
  "magnetic_moment_mub_per_atom": 0.00,
  "crystal_system": "trigonal",
  "space_group": "No. 166",
  "lattice_angstrom": [[2.435, 1.406, 7.973], [-2.435, 1.406, 7.973], [0.000, -2.811, 7.973]],
  "species": ["Er", "Er", "Er", "Er", "Ni", "Hg", "Ru", "Ru"],
  "frac_coords": [[0.119, 0.119, 0.119], [0.371, 0.371, 0.371], [0.629, 0.629, 0.629], [0.881, 0.881, 0.881], [0.000, 0.000, 0.000], [0.500, 0.500, 0.500], [0.250, 0.250, 0.250], [0.750, 0.750, 0.750]]
}

Record 4
{
  "formula": "Li4Hg5Au",
  "functional": "PBE-GGA",
  "state": "relaxed",
  "n_ef_per_ev_atom": 0.2702,
  "formation_enthalpy_0k_ev_per_fu": -3.05,
  "magnetic_moment_mub_per_atom": 0.00,
  "crystal_system": "tetragonal",
  "space_group": "No. 123",
  "lattice_angstrom": [[3.407, 0.000, 0.000], [0.000, 3.407, 0.000], [0.000, 0.000, 16.331]],
  "species": ["Li", "Li", "Li", "Li", "Hg", "Hg", "Hg", "Hg", "Hg", "Au"],
  "frac_coords": [[0.000, 0.000, 0.098], [0.000, 0.000, 0.300], [0.000, 0.000, 0.700], [0.000, 0.000, 0.902], [0.500, 0.500, 0.000], [0.500, 0.500, 0.196], [0.500, 0.500, 0.391], [0.500, 0.500, 0.609], [0.500, 0.500, 0.804], [0.000, 0.000, 0.500]]
}

Record 5
{
  "formula": "PmHoEr3",
  "functional": "PBE-GGA",
  "state": "relaxed",
  "n_ef_per_ev_atom": 1.5148,
  "formation_enthalpy_0k_ev_per_fu": 1.51,
  "magnetic_moment_mub_per_atom": 0.00,
  "crystal_system": "orthorhombic",
  "e_above_lowest_polymorph_ev_per_atom": 0.296,
  "space_group": "No. 63",
  "lattice_angstrom": [[1.796, -8.310, 0.000], [1.796, 8.310, 0.000], [0.000, 0.000, 11.495]],
  "species": ["Pm", "Pm", "Ho", "Ho", "Er", "Er", "Er", "Er", "Er", "Er"],
  "frac_coords": [[0.005, 0.995, 0.750], [0.995, 0.005, 0.250], [0.322, 0.678, 0.250], [0.678, 0.322, 0.750], [0.158, 0.842, 0.000], [0.158, 0.842, 0.500], [0.336, 0.664, 0.750], [0.664, 0.336, 0.250], [0.842, 0.158, 0.000], [0.842, 0.158, 0.500]]
}

Record 6
{
  "formula": "HoPu2Fe9",
  "functional": "PBE-GGA",
  "state": "relaxed",
  "n_ef_per_ev_atom": 2.0356,
  "formation_enthalpy_0k_ev_per_fu": 0.97,
  "magnetic_moment_mub_per_atom": 1.97,
  "crystal_system": "trigonal",
  "space_group": "No. 166",
  "lattice_angstrom": [[2.475, 1.429, 8.271], [-2.475, 1.429, 8.271], [0.000, -2.857, 8.271]],
  "species": ["Ho", "Pu", "Pu", "Fe", "Fe", "Fe", "Fe", "Fe", "Fe", "Fe", "Fe", "Fe"],
  "frac_coords": [[0.000, 0.000, 0.000], [0.147, 0.147, 0.147], [0.853, 0.853, 0.853], [0.080, 0.581, 0.581], [0.334, 0.334, 0.334], [0.419, 0.419, 0.920], [0.419, 0.920, 0.419], [0.500, 0.500, 0.500], [0.581, 0.080, 0.581], [0.581, 0.581, 0.080], [0.666, 0.666, 0.666], [0.920, 0.419, 0.419]]
}

Record 7
{
  "formula": "TeSe2Cl",
  "functional": "PBE-GGA",
  "state": "relaxed",
  "n_ef_per_ev_atom": 0.7239,
  "magnetic_moment_mub_per_atom": 0.00,
  "crystal_system": "orthorhombic",
  "formation_energy_uncorrected_mev_per_atom": 206.0,
  "e_above_lowest_polymorph_ev_per_atom": 0.348,
  "space_group": "No. 25",
  "lattice_angstrom": [[3.694, 0.000, 0.000], [0.000, 3.883, 0.000], [0.000, 0.000, 7.404]],
  "species": ["Te", "Se", "Se", "Cl"],
  "frac_coords": [[0.000, 0.000, 0.000], [0.000, 0.000, 0.647], [0.500, 0.500, 0.702], [0.500, 0.500, 0.266]]
}

Record 8
{
  "formula": "Al2CuN",
  "functional": "PBE-GGA",
  "state": "relaxed",
  "n_ef_per_ev_atom": 0.2072,
  "magnetic_moment_mub_per_atom": 0.00,
  "crystal_system": "trigonal",
  "formation_energy_uncorrected_mev_per_atom": -536.1,
  "space_group": "No. 166",
  "lattice_angstrom": [[1.427, 0.824, 6.420], [-1.427, 0.824, 6.420], [0.000, -1.648, 6.420]],
  "species": ["Al", "Al", "Cu", "N"],
  "frac_coords": [[0.229, 0.229, 0.229], [0.771, 0.771, 0.771], [0.000, 0.000, 0.000], [0.500, 0.500, 0.500]]
}

Record 9
{
  "formula": "K2Ba2AgO4",
  "functional": "PBE-GGA",
  "state": "relaxed",
  "n_ef_per_ev_atom": 0.1535,
  "magnetic_moment_mub_per_atom": 0.11,
  "crystal_system": "tetragonal",
  "formation_energy_uncorrected_mev_per_atom": -1247.1,
  "space_group": "No. 139",
  "lattice_angstrom": [[-3.261, 3.261, 3.917], [3.261, -3.261, 3.917], [3.261, 3.261, -3.917]],
  "species": ["K", "K", "Ba", "Ba", "Ag", "O", "O", "O", "O"],
  "frac_coords": [[0.162, 0.162, 0.000], [0.838, 0.838, 0.000], [0.250, 0.750, 0.500], [0.750, 0.250, 0.500], [0.500, 0.500, 0.000], [0.258, 0.258, 0.516], [0.258, 0.742, 0.000], [0.742, 0.258, 0.000], [0.742, 0.742, 0.484]]
}

Record 10
{
  "formula": "RbSrH2F",
  "functional": "PBE-GGA",
  "state": "relaxed",
  "n_ef_per_ev_atom": 0.0000,
  "total_energy_ev_per_cell": -18.07,
  "magnetic_moment_mub_per_atom": 0.00,
  "crystal_system": "tetragonal",
  "space_group": "No. 123",
  "lattice_angstrom": [[4.821, 0.000, 0.000], [0.000, 4.821, 0.000], [0.000, 0.000, 4.773]],
  "species": ["Rb", "Sr", "H", "H", "F"],
  "frac_coords": [[0.000, 0.000, 0.000], [0.500, 0.500, 0.500], [0.000, 0.500, 0.500], [0.500, 0.000, 0.500], [0.500, 0.500, 0.000]]
}

Record 11
{
  "formula": "TmMgBiTe",
  "functional": "PBE-GGA",
  "state": "relaxed",
  "n_ef_per_ev_atom": 0.0047,
  "magnetic_moment_mub_per_atom": 0.00,
  "crystal_system": "trigonal",
  "formation_energy_uncorrected_mev_per_atom": -682.5,
  "space_group": "No. 166",
  "lattice_angstrom": [[2.417, 1.396, 12.448], [-2.417, 1.396, 12.448], [0.000, -2.791, 12.448]],
  "species": ["Tm", "Tm", "Mg", "Mg", "Bi", "Bi", "Te", "Te"],
  "frac_coords": [[0.107, 0.107, 0.107], [0.893, 0.893, 0.893], [0.307, 0.307, 0.307], [0.693, 0.693, 0.693], [0.387, 0.387, 0.387], [0.613, 0.613, 0.613], [0.198, 0.198, 0.198], [0.802, 0.802, 0.802]]
}

Record 12
{
  "formula": "CdIrOs2Pb",
  "functional": "PBE-GGA",
  "state": "relaxed",
  "n_ef_per_ev_atom": 1.3569,
  "formation_enthalpy_0k_ev_per_fu": 14.72,
  "magnetic_moment_mub_per_atom": 0.29,
  "crystal_system": "tetragonal",
  "space_group": "No. 123",
  "lattice_angstrom": [[4.920, 0.000, 0.000], [0.000, 4.920, 0.000], [0.000, 0.000, 5.075]],
  "species": ["Cd", "Ir", "Os", "Os", "Pb"],
  "frac_coords": [[0.000, 0.000, 0.000], [0.500, 0.500, 0.000], [0.000, 0.500, 0.500], [0.500, 0.000, 0.500], [0.000, 0.000, 0.500]]
}

Record 13
{
  "formula": "RbNaGe",
  "functional": "PBE-GGA",
  "state": "relaxed",
  "n_ef_per_ev_atom": 0.4686,
  "formation_enthalpy_0k_ev_per_fu": -0.15,
  "magnetic_moment_mub_per_atom": 0.00,
  "crystal_system": "monoclinic",
  "e_above_lowest_polymorph_ev_per_atom": 0.012,
  "space_group": "No. 8",
  "lattice_angstrom": [[3.843, -3.840, 0.000], [3.843, 3.840, 0.000], [-3.837, 0.000, 7.770]],
  "species": ["Rb", "Rb", "Na", "Na", "Ge", "Ge"],
  "frac_coords": [[0.000, 0.000, 0.000], [0.625, 0.625, 0.250], [0.313, 0.813, 0.625], [0.813, 0.313, 0.625], [0.232, 0.232, 0.462], [0.394, 0.394, 0.788]]
}

Record 14
{
  "formula": "BaSiBRh3",
  "functional": "PBE-GGA",
  "state": "relaxed",
  "n_ef_per_ev_atom": 0.4915,
  "magnetic_moment_mub_per_atom": 0.00,
  "crystal_system": "orthorhombic",
  "formation_energy_uncorrected_mev_per_atom": -509.7,
  "space_group": "No. 63",
  "lattice_angstrom": [[2.947, -6.186, 0.000], [2.947, 6.186, 0.000], [0.000, 0.000, 5.858]],
  "species": ["Ba", "Ba", "Si", "Si", "B", "B", "Rh", "Rh", "Rh", "Rh", "Rh", "Rh"],
  "frac_coords": [[0.250, 0.750, 0.750], [0.750, 0.250, 0.250], [0.099, 0.901, 0.250], [0.901, 0.099, 0.750], [0.459, 0.541, 0.250], [0.541, 0.459, 0.750], [0.257, 0.257, 0.000], [0.257, 0.257, 0.500], [0.293, 0.707, 0.250], [0.707, 0.293, 0.750], [0.743, 0.743, 0.000], [0.743, 0.743, 0.500]]
}

Record 15
{
  "formula": "Ti2TlRu",
  "functional": "PBE-GGA",
  "state": "relaxed",
  "n_ef_per_ev_atom": 0.8411,
  "formation_enthalpy_0k_ev_per_fu": -0.96,
  "magnetic_moment_mub_per_atom": 0.00,
  "crystal_system": "tetragonal",
  "e_above_lowest_polymorph_ev_per_atom": 0.000,
  "space_group": "No. 123",
  "lattice_angstrom": [[3.049, 0.000, 0.000], [0.000, 3.049, 0.000], [0.000, 0.000, 7.569]],
  "species": ["Ti", "Ti", "Tl", "Ru"],
  "frac_coords": [[0.000, 0.000, 0.204], [0.000, 0.000, 0.796], [0.500, 0.500, 0.500], [0.500, 0.500, 0.000]]
}